# 1
Compound: Pm5Sc3Se8
Source: the Alexandria database
Functional: PBE-GGA
Structure: optimized geometry

Cell: 8.1164 8.1164 20.2567 Å, 90.00 90.00 120.00°
With the nearest neighbours (Å) after each atom.
Space group R-3m (No. 166, hexagonal axes)
Asymmetric unit:
Pm (0.0000, 0.0000, 0.0000) [3 per cell]  6 Se 2.89
Pm (0.0000, 0.0000, 0.5000) [3 per cell]  6 Se 2.89
Pm (0.0000, 0.5000, 0.0000) [9 per cell]  6 Se 3.00
Sc (0.0000, 0.5000, 0.5000) [9 per cell]  6 Se 2.78-2.79
Se (0.0000, 0.0000, 0.2412) [6 per cell]  3 Sc 2.79, 3 Pm 3.00
Se (0.0121, 0.5061, 0.7561) [18 per cell]  2 Sc 2.78, 4 Pm 2.89-3.00

ΔE_f (raw) in eV per atom: -1.717
Final energy in eV/cell: -294.3
Crystal system: trigonal


# 2
Compound: Sm12Tl2Sn5
Source: the Alexandria database
Functional: PBE-GGA
Structure: optimized geometry

Cell: 17.8173 7.1137 10.4519 Å, 90.00 103.66 90.00°
With the nearest neighbours (Å) after each atom.
Space group C2/m (No. 12)
Asymmetric unit:
Sm (0.0128, 0.0000, 0.2633) [4 per cell]  2 Sn 3.13-3.33, 2 Tl 3.34
Sm (0.0940, 0.5000, 0.8051) [4 per cell]  1 Sn 3.23, 2 Tl 3.33, 4 Sm 3.50-3.56
Sm (0.1476, 0.2386, 0.5568) [8 per cell]  4 Sn 3.12-3.20, 1 Sm 3.39
Sm (0.1788, 0.2443, 0.0956) [8 per cell]  3 Sn 3.11-3.31, 1 Tl 3.11, 1 Sm 3.48
Tl (0.0000, 0.2755, 0.0000) [4 per cell]  6 Sm 3.11-3.34, 1 Tl 3.19
Sn (0.0000, 0.5000, 0.5000) [2 per cell]  6 Sm 3.16-3.23
Sn (0.1678, 0.0000, 0.8223) [4 per cell]  7 Sm 3.13-3.31
Sn (0.2050, 0.0000, 0.3487) [4 per cell]  7 Sm 3.11-3.33

DFT formation energy in eV/atom: -0.310
Final energy in eV/cell: -174.5
Crystal system: monoclinic


# 3
Compound: CdPO
Source: the Alexandria database
Functional: PBE-GGA
Structure: optimized geometry

Cell: 2.7074 5.4541 8.3811 Å, 90.00 90.00 90.00°
With the nearest neighbours (Å) after each atom.
Space group Imm2 (No. 44)
Asymmetric unit:
Cd (0.0000, 0.0000, 0.0000) [2 per cell]  2 Cd 2.71, 1 O 2.75, 2 P 2.75
P (0.0000, 0.5000, 0.0410) [2 per cell]  2 O 1.74
O (0.0000, 0.0000, 0.6722) [2 per cell]  2 P 1.74

ΔE_f (raw) in eV per atom: -0.414
Final energy in eV/cell: -25.0
Crystal system: orthorhombic


# 4
Compound: BeSb2Ru
Source: the Alexandria database
Functional: PBE-GGA
Structure: optimized geometry

Cell: 4.0134 4.0134 9.0349 Å, 90.00 90.00 90.00°
With the nearest neighbours (Å) after each atom.
Space group I-4m2 (No. 119)
Asymmetric unit:
Be (0.0000, 0.0000, 0.0000) [2 per cell]  8 Sb 2.84-3.02, 4 Ru 3.02
Sb (0.0000, 0.0000, 0.5000) [2 per cell]  4 Be 2.84, 4 Sb 3.02, 4 Ru 3.02
Sb (0.0000, 0.5000, 0.2500) [2 per cell]  4 Ru 2.84, 4 Sb 3.02, 4 Be 3.02
Ru (0.0000, 0.5000, 0.7500) [2 per cell]  8 Sb 2.84-3.02, 4 Be 3.02

ΔE_f (raw) in eV per atom: 0.544
Final energy in eV/cell: -38.1
Crystal system: tetragonal


The lowest final energy belongs to which entry?
Pm5Sc3Se8